# Sm2P3PdRh4, optimized geometry, DFT GGA-PBE
data_Sm2P3PdRh4
_chemical_formula_sum 'Sm2 P3 Pd1 Rh4'
_symmetry_space_group_name_H-M 'P -4 m 2'
_symmetry_Int_Tables_number 115
_symmetry_space_group_name_Hall 'P -4 -2'
_cell_length_a 4.0727
_cell_length_b 4.0727
_cell_length_c 10.2322
_cell_angle_alpha 90.00
_cell_angle_beta 90.00
_cell_angle_gamma 90.00
loop_
_atom_site_label
_atom_site_fract_x
_atom_site_fract_y
_atom_site_fract_z
Sm1 0.0000 0.5000 0.2410
P1 0.0000 0.0000 0.0000
P2 0.0000 0.5000 0.6292
Pd1 0.5000 0.5000 0.0000
Rh1 0.0000 0.0000 0.5000
Rh2 0.0000 0.5000 0.8471
Rh3 0.5000 0.5000 0.5000
# Fermi-level density of states	4.0	states/eV per cell
# magnetization	0.00	μB per formula unit
# energy of formation from the pure elements	-9.47	eV per formula unit

# LaRuBr2, optimized geometry, DFT GGA-PBE
data_LaRuBr2
_chemical_formula_sum 'La4 Ru4 Br8'
_symmetry_space_group_name_H-M 'F -4 3 m'
_symmetry_Int_Tables_number 216
_symmetry_space_group_name_Hall 'F -4 2 3'
_cell_length_a 7.2280
_cell_length_b 7.2280
_cell_length_c 7.2280
_cell_angle_alpha 90.00
_cell_angle_beta 90.00
_cell_angle_gamma 90.00
loop_
_atom_site_label
_atom_site_fract_x
_atom_site_fract_y
_atom_site_fract_z
La1 0.0000 0.0000 0.0000
Ru1 0.2500 0.2500 0.7500
Br1 0.0000 0.0000 0.5000
Br2 0.2500 0.2500 0.2500
# Fermi-level density of states	20.3	states/eV per cell
# magnetization	1.01	μB per formula unit
# ΔE_f (raw)	-0.122	eV/atom
# relative energy among the computed polymorphs	0.631	eV/atom

What is the formula in the first record?
Sm2P3PdRh4